# Hf4CoPbC2 | OQMD | GGA-PBE | optimized geometry
# - ρ (g/cm3) = 12.723
# - DFT total energy (Ha/atom) = -0.337
# - calculated volume (Å³ per atom) = 16.4
data_Hf4CoPbC2
_chemical_formula_sum 'Hf4 Co1 Pb1 C2'
_cell_length_a 3.3016
_cell_length_b 3.3016
_cell_length_c 13.8826
_cell_angle_alpha 90.00
_cell_angle_beta 90.00
_cell_angle_gamma 120.00
_space_group_name_H-M_alt 'P -6 m 2'
_space_group_IT_number 187
_space_group_name_Hall 'P -6 2'
loop_
_atom_site_label
_atom_site_fract_x
_atom_site_fract_y
_atom_site_fract_z
Hf1 0.0000 0.0000 0.1352
Hf2 0.3333 0.6667 0.3195
Co1 0.3333 0.6667 0.0000
Pb1 0.0000 0.0000 0.5000
C1 0.6667 0.3333 0.2345

# GdTmSn2Pt4 | OQMD | GGA-PBE | optimized geometry
# - ρ (g/cm3) = 13.658
# - DFT total energy (Ha/atom) = -0.227
# - calculated volume (Å³ per atom) = 20.4
data_GdTmSn2Pt4
_chemical_formula_sum 'Gd1 Tm1 Sn2 Pt4'
_cell_length_a 4.5568
_cell_length_b 4.5568
_cell_length_c 9.0861
_cell_angle_alpha 90.00
_cell_angle_beta 90.00
_cell_angle_gamma 120.00
_space_group_name_H-M_alt 'P -6 m 2'
_space_group_IT_number 187
_space_group_name_Hall 'P -6 2'
loop_
_atom_site_label
_atom_site_fract_x
_atom_site_fract_y
_atom_site_fract_z
Gd1 0.0000 0.0000 0.0000
Tm1 0.3333 0.6667 0.5000
Sn1 0.6667 0.3333 0.2521
Pt1 0.0000 0.0000 0.3431
Pt2 0.3333 0.6667 0.1630

# MgGa2FeCu4 | OQMD | GGA-PBE | optimized geometry
# - ρ (g/cm3) = 7.420
# - DFT total energy (Ha/atom) = -0.143
# - calculated volume (Å³ per atom) = 13.3
data_MgGa2FeCu4
_chemical_formula_sum 'Mg1 Ga2 Fe1 Cu4'
_cell_length_a 4.157
_cell_length_b 4.157
_cell_length_c 6.136
_cell_angle_alpha 90.00
_cell_angle_beta 90.00
_cell_angle_gamma 90.00
_space_group_name_H-M_alt 'P 4/m m m'
_space_group_IT_number 123
_space_group_name_Hall '-P 4 2'
loop_
_atom_site_label
_atom_site_fract_x
_atom_site_fract_y
_atom_site_fract_z
Mg1 0.000 0.000 0.000
Ga1 0.000 0.000 0.500
Ga2 0.500 0.500 0.000
Fe1 0.500 0.500 0.500
Cu1 0.000 0.500 0.261

# SmNbGa | OQMD | GGA-PBE | optimized geometry
# - excess energy over the best structure of this formula in the dataset (eV/atom) = 0.718
# - ρ (g/cm3) = 6.303
# - DFT total energy (Ha/atom) = -0.184
# - calculated volume (Å³ per atom) = 27.5
data_SmNbGa
_chemical_formula_sum 'Sm4 Nb4 Ga4'
_cell_length_a 6.909
_cell_length_b 6.909
_cell_length_c 6.909
_cell_angle_alpha 90.00
_cell_angle_beta 90.00
_cell_angle_gamma 90.00
_space_group_name_H-M_alt 'F -4 3 m'
_space_group_IT_number 216
_space_group_name_Hall 'F -4 2 3'
loop_
_atom_site_label
_atom_site_fract_x
_atom_site_fract_y
_atom_site_fract_z
Sm1 0.000 0.000 0.000
Nb1 0.250 0.250 0.250
Ga1 0.250 0.250 0.750